Record 1
Computed, not measured: NiSbTe2 after structural relaxation at the PBE-GGA level of DFT.

For the density of states at the Fermi level, the calculation gives 8.42 states/eV per cell. The volume comes out at 325.1 Å³/cell.

The space group is R-3m (No. 166, hexagonal axes) and the conventional cell measures 3.7289, 3.7289 and 26.9988 Å, with angles of 90.00, 90.00 and 120.00 degrees. The inequivalent atoms are Ni at (0.0000, 0.0000, 0.0000), Sb at (0.0000, 0.0000, 0.5000) and Te at (0.0000, 0.0000, 0.3855).

Record 2
Computed, not measured: NiSbTe4 after structural relaxation at the PBE-GGA level of DFT.

For the density of states at the Fermi level, the calculation gives 41.86 states/eV per cell. As for the excess energy over the best structure of this formula in the dataset: 0.912 eV/atom. The volume comes out at 691.8 Å³/cell.

The space group is F-43m (No. 216) and the conventional cell measures 8.844, 8.844 and 8.844 Å, with angles of 90.00, 90.00 and 90.00 degrees. The inequivalent atoms are Ni at (0.000, 0.000, 0.000), Sb at (0.250, 0.250, 0.750) and Te at (0.125, 0.125, 0.375).

Record 3
Computed, not measured: Ni2SbTe after structural relaxation at the PBE-GGA level of DFT.

For the density of states at the Fermi level, the calculation gives 12.27 states/eV per cell. As for the excess energy over the best structure of this formula in the dataset: 0.284 eV/atom. The volume comes out at 371.7 Å³/cell.

The space group is I-42d (No. 122) and the conventional cell measures 5.695, 5.695 and 11.458 Å, with angles of 90.00, 90.00 and 90.00 degrees. The inequivalent atoms are Ni at (0.246, 0.250, 0.125), Sb at (0.000, 0.000, 0.500) and Te at (0.000, 0.000, 0.000).

Record 4
Computed, not measured: NiSbTe2 after structural relaxation at the PBE-GGA level of DFT.

For the density of states at the Fermi level, the calculation gives 9.50 states/eV per cell. The volume comes out at 495.9 Å³/cell.

The space group is I-42d (No. 122) and the conventional cell measures 6.492, 6.492 and 11.767 Å, with angles of 90.00, 90.00 and 90.00 degrees. The inequivalent atoms are Ni at (0.000, 0.000, 0.000), Sb at (0.000, 0.000, 0.500) and Te at (0.178, 0.250, 0.125).

Record 5
Computed, not measured: NiSbTe2 after structural relaxation at the PBE-GGA level of DFT.

For the density of states at the Fermi level, the calculation gives 5.90 states/eV per cell. The volume comes out at 192.6 Å³/cell.

The space group is Cmmm (No. 65) and the conventional cell measures 5.737, 8.988 and 3.734 Å, with angles of 90.00, 90.00 and 90.00 degrees. The inequivalent atoms are Ni at (0.000, 0.000, 0.000), Sb at (0.000, 0.500, 0.000) and Te at (0.000, 0.194, 0.500).

Record 6
Computed, not measured: NiSbTe4 after structural relaxation at the PBE-GGA level of DFT.

For the density of states at the Fermi level, the calculation gives 3.61 states/eV per cell. As for the excess energy over the best structure of this formula in the dataset: 0.000 eV/atom. The volume comes out at 173.0 Å³/cell.

The space group is P2/m (No. 10) and the conventional cell measures 5.863, 4.094 and 7.214 Å, with angles of 90.00, 92.66 and 90.00 degrees. The inequivalent atoms are Ni at (0.000, 0.000, 0.000), Sb at (0.500, 0.500, 0.500), Te at (0.159, 0.000, 0.660) and Te at (0.269, 0.500, 0.091).

Record 7
Computed, not measured: NiSbTe2 after structural relaxation at the PBE-GGA level of DFT.

For the density of states at the Fermi level, the calculation gives 12.90 states/eV per cell. The volume comes out at 320.7 Å³/cell.

The space group is R-3m (No. 166, hexagonal axes) and the conventional cell measures 3.2029, 3.2029 and 36.1002 Å, with angles of 90.00, 90.00 and 120.00 degrees. The inequivalent atoms are Ni at (0.0000, 0.0000, 0.0000), Sb at (0.0000, 0.0000, 0.5000) and Te at (0.0000, 0.0000, 0.0679).

Record 8
Computed, not measured: Ni2Sb2Te after structural relaxation at the PBE-GGA level of DFT.

For the density of states at the Fermi level, the calculation gives 6.61 states/eV per cell. As for the excess energy over the best structure of this formula in the dataset: 0.156 eV/atom. The volume comes out at 195.7 Å³/cell.

The space group is P4/mbm (No. 127) and the conventional cell measures 7.337, 7.337 and 3.635 Å, with angles of 90.00, 90.00 and 90.00 degrees. The inequivalent atoms are Ni at (0.125, 0.375, 0.000), Sb at (0.152, 0.652, 0.500) and Te at (0.000, 0.000, 0.000).

Record 9
Computed, not measured: NiSbTe2 after structural relaxation at the PBE-GGA level of DFT.

For the density of states at the Fermi level, the calculation gives 4.69 states/eV per cell. The volume comes out at 217.4 Å³/cell.

The space group is Immm (No. 71) and the conventional cell measures 3.681, 4.928 and 11.983 Å, with angles of 90.00, 90.00 and 90.00 degrees. The inequivalent atoms are Ni at (0.000, 0.000, 0.000), Sb at (0.000, 0.000, 0.500) and Te at (0.000, 0.500, 0.348).

Record 10
Computed, not measured: Ni2SbTe after structural relaxation at the PBE-GGA level of DFT.

For the density of states at the Fermi level, the calculation gives 3.05 states/eV per cell. As for the excess energy over the best structure of this formula in the dataset: 0.159 eV/atom. The volume comes out at 78.9 Å³/cell.

The space group is P4mm (No. 99) and the conventional cell measures 3.323, 3.323 and 7.147 Å, with angles of 90.00, 90.00 and 90.00 degrees. The inequivalent atoms are Ni at (0.000, 0.000, 0.000), Ni at (0.500, 0.500, 0.186), Sb at (0.000, 0.000, 0.368) and Te at (0.500, 0.500, 0.832).

Record 11
Computed, not measured: Ni9Sb2Te after structural relaxation at the PBE-GGA level of DFT.

For the density of states at the Fermi level, the calculation gives 12.61 states/eV per cell. The volume comes out at 157.0 Å³/cell.

The space group is P4/mmm (No. 123) and the conventional cell measures 3.738, 3.738 and 11.238 Å, with angles of 90.00, 90.00 and 90.00 degrees. The inequivalent atoms are Ni at (0.000, 0.000, 0.000), Ni at (0.000, 0.000, 0.334), Ni at (0.000, 0.500, 0.169), Ni at (0.000, 0.500, 0.500), Sb at (0.500, 0.500, 0.334) and Te at (0.500, 0.500, 0.000).

Record 12
Computed, not measured: Ni3Sb2Te2 after structural relaxation at the PBE-GGA level of DFT.

For the density of states at the Fermi level, the calculation gives 8.32 states/eV per cell. As for the excess energy over the best structure of this formula in the dataset: 0.001 eV/atom. The volume comes out at 279.8 Å³/cell.

The space group is C2/m (No. 12) and the conventional cell measures 12.307, 3.983 and 6.777 Å, with angles of 90.00, 122.61 and 90.00 degrees. The inequivalent atoms are Ni at (0.000, 0.000, 0.000), Ni at (0.244, 0.500, 0.732), Sb at (0.134, 0.500, 0.971) and Te at (0.121, 0.000, 0.463).

Record 13
Computed, not measured: TiNiSb2Te after structural relaxation at the PBE-GGA level of DFT.

For the density of states at the Fermi level, the calculation gives 7.96 states/eV per cell. As for the excess energy over the best structure of this formula in the dataset: 0.158 eV/atom. The volume comes out at 141.6 Å³/cell.

The space group is P4/mmm (No. 123) and the conventional cell measures 5.217, 5.217 and 5.203 Å, with angles of 90.00, 90.00 and 90.00 degrees. The inequivalent atoms are Ti at (0.000, 0.000, 0.000), Ni at (0.500, 0.500, 0.500), Sb at (0.000, 0.500, 0.000) and Te at (0.000, 0.000, 0.500).

Record 14
Computed, not measured: TiNiSb2Te after structural relaxation at the PBE-GGA level of DFT.

For the density of states at the Fermi level, the calculation gives 7.00 states/eV per cell. As for the excess energy over the best structure of this formula in the dataset: 0.000 eV/atom. The volume comes out at 123.2 Å³/cell.

The space group is P4/mmm (No. 123) and the conventional cell measures 4.887, 4.887 and 5.159 Å, with angles of 90.00, 90.00 and 90.00 degrees. The inequivalent atoms are Ti at (0.000, 0.000, 0.000), Ni at (0.500, 0.500, 0.500), Sb at (0.000, 0.500, 0.500) and Te at (0.500, 0.500, 0.000).

Record-wise energy relative to the elements, uncorrected values, in eV per atom: -0.01; 0.88; 0.06; 0.06; 0.00; -0.04; 0.44; 0.08; 0.00; -0.07; -0.08; -0.22; 0.62; 0.47